No. 1
VASP calculation (GGA-PBEsol) on a relaxed ErCd2 crystal.

Cell: 4.847 4.847 3.343 Å, 90.00 90.00 120.00°
Fractional coordinates of all 3 atoms:
Er (0.000, 0.000, 0.000)
Cd (0.333, 0.667, 0.500)
Cd (0.667, 0.333, 0.500)

DFT total energy, eV per atom: -2.780

No. 2
VASP calculation (GGA-PBEsol) on a relaxed Zn5Co24 crystal.

Cell: 7.428 7.428 7.428 Å, 109.47 109.47 109.47°
Fractional coordinates of all 29 atoms:
Zn (0.000, 0.000, 0.000)
Zn (0.000, 0.000, 0.638)
Zn (0.000, 0.638, 0.000)
Zn (0.362, 0.362, 0.362)
Zn (0.638, 0.000, 0.000)
Co (0.000, 0.192, 0.377)
Co (0.000, 0.377, 0.192)
Co (0.000, 0.395, 0.679)
Co (0.000, 0.679, 0.395)
Co (0.185, 0.808, 0.808)
Co (0.192, 0.000, 0.377)
Co (0.192, 0.377, 0.000)
Co (0.284, 0.605, 0.605)
Co (0.321, 0.321, 0.716)
Co (0.321, 0.716, 0.321)
Co (0.377, 0.000, 0.192)
Co (0.377, 0.192, 0.000)
Co (0.395, 0.000, 0.679)
Co (0.395, 0.679, 0.000)
Co (0.605, 0.284, 0.605)
Co (0.605, 0.605, 0.284)
Co (0.623, 0.623, 0.815)
Co (0.623, 0.815, 0.623)
Co (0.679, 0.000, 0.395)
Co (0.679, 0.395, 0.000)
Co (0.716, 0.321, 0.321)
Co (0.808, 0.185, 0.808)
Co (0.808, 0.808, 0.185)
Co (0.815, 0.623, 0.623)

DFT total energy, eV per atom: -6.654

No. 3
VASP calculation (GGA-PBEsol) on a relaxed BeRe2As crystal.

Cell: 3.012 3.012 5.676 Å, 90.00 90.00 90.00°
Fractional coordinates of all 4 atoms:
Be (0.000, 0.000, 0.000)
Re (0.000, 0.000, 0.498)
Re (0.500, 0.500, 0.197)
As (0.500, 0.500, 0.755)

Offset from the most stable computed form, eV per atom: 0.0000

No. 4
VASP calculation (GGA-PBEsol) on a relaxed TlCoTc2 crystal.

Cell: 3.662 3.662 4.359 Å, 90.00 90.00 90.00°
Fractional coordinates of all 4 atoms:
Tl (0.000, 0.000, 0.000)
Co (0.500, 0.500, 0.000)
Tc (0.000, 0.500, 0.500)
Tc (0.500, 0.000, 0.500)

Offset from the most stable computed form, eV per atom: 0.2169

Number 1: total magnetization 0.0001 μB/atom. Number 2: total magnetization 1.2392 μB/atom. Number 3: total magnetization 0.0000 μB/atom. Number 4: total magnetization 0.0004 μB/atom.